Entry 1:
PuThSe4: optimized geometry, GGA-PBE.

Structure (extended XYZ):
```
6
Lattice="4.374 0.000 0.000 0.000 6.705 -0.024 0.000 -0.012 6.705" Properties=species:S:1:pos:R:3 pbc="T T T"
Th 0.000 3.346 3.340
Pu 2.187 0.000 0.000
Se 2.187 2.011 4.678
Se 4.374 1.268 1.266
Se 0.000 5.424 5.414
Se 2.187 4.681 2.003
```

Results
energy above the lowest structure with this stoichiometry = 0.61 eV/f.u.
space group = Cmmm, No. 65



Entry 2:
PuTh2Se5: optimized geometry, GGA-PBE.

Structure (extended XYZ):
```
32
Lattice="7.841 0.000 0.000 0.000 8.340 0.000 0.000 0.000 12.731" Properties=species:S:1:pos:R:3 pbc="T T T"
Se 2.651 8.000 7.718
Se 5.522 6.255 9.068
Se 1.393 6.255 10.396
Pu 0.560 2.085 0.049
Se 1.602 2.085 10.028
Se 6.239 6.255 2.702
Pu 3.360 2.085 6.415
Se 2.527 6.255 4.031
Se 3.641 2.085 0.020
Pu 7.280 6.255 12.682
Se 0.279 2.085 6.386
Se 1.269 4.509 1.353
Th 0.108 0.006 4.070
Th 7.733 4.175 8.661
Th 7.733 8.334 8.661
Se 5.314 2.085 8.700
Se 5.189 3.831 5.013
Th 4.028 4.175 2.295
Se 4.200 6.255 12.711
Th 3.813 4.164 10.436
Se 6.572 0.339 11.378
Se 5.189 0.339 5.013
Se 1.269 8.001 1.353
Pu 4.481 6.255 6.316
Se 7.561 6.255 6.345
Th 3.813 0.006 10.436
Se 2.319 2.085 3.663
Se 6.572 3.831 11.378
Th 0.108 4.164 4.070
Th 4.028 8.334 2.295
Se 2.651 4.509 7.718
Se 6.447 2.085 2.335
```

Results
space group = Pnma, No. 62



Entry 3:
PuThTl2Se4: optimized geometry, GGA-PBE.

Structure (extended XYZ):
```
8
Lattice="-2.901 2.748 1.592 -1.302 -4.635 5.627 6.025 5.040 2.278" Properties=species:S:1:pos:R:3 pbc="T T T"
Se 0.305 -2.342 4.597
Pu 0.000 0.000 0.000
Se 4.418 2.747 3.308
Se -0.522 1.303 2.610
Se 2.344 1.850 6.887
Tl 1.562 3.894 1.935
Tl 2.362 0.203 3.953
Th -2.102 -0.943 3.610
```

Results
space group = P2/m, No. 10



Entry 4:
Tm2Pu3ThSe6: optimized geometry, GGA-PBE.

Structure (extended XYZ):
```
12
Lattice="-0.380 -2.869 2.892 7.608 1.700 2.685 -4.853 7.001 3.414" Properties=species:S:1:pos:R:3 pbc="T T T"
Th -0.190 -1.434 1.446
Pu -2.344 2.592 5.157
Pu 4.719 3.241 3.834
Se -1.184 0.627 3.361
Se 2.515 1.440 4.653
Se 0.449 5.339 8.249
Se -0.140 4.392 4.338
Se 1.927 0.493 0.742
Tm 0.882 2.431 2.527
Se 3.560 5.205 5.631
Tm 1.493 3.402 6.464
Pu 3.614 -0.584 2.788
```

Results
space group = C2/m, No. 12



Entry 5:
TmPuTh2Se4: optimized geometry, GGA-PBE.

Structure (extended XYZ):
```
8
Lattice="-2.052 3.319 -1.113 -5.789 -2.554 3.057 3.734 3.987 5.009" Properties=species:S:1:pos:R:3 pbc="T T T"
Se 1.356 2.393 4.638
Se -2.513 2.793 5.567
Se -3.411 -0.959 3.428
Th 0.841 3.653 1.948
Tm -3.920 0.383 0.972
Pu 0.000 0.000 0.000
Se -1.594 1.960 1.386
Th -1.027 0.717 4.033
```

Results
space group = P2/m, No. 10



Entry 6:
Tm3Pu2ThSe6: optimized geometry, GGA-PBE.

Structure (extended XYZ):
```
12
Lattice="-3.212 0.893 -2.271 -1.695 -8.084 -0.783 -2.857 2.173 8.477" Properties=species:S:1:pos:R:3 pbc="T T T"
Se -3.688 -1.572 4.596
Se -1.280 -5.946 -0.529
Se -4.076 -3.445 0.827
Pu -2.035 -1.802 2.168
Tm -4.869 0.842 3.633
Se -4.499 -5.741 4.103
Se -6.484 0.929 5.952
Tm -2.453 -3.595 -1.527
Tm -2.895 -5.859 1.789
Se -3.265 0.724 1.320
Th -1.606 0.447 -1.136
Pu -5.729 -3.215 3.254
```

Results
space group = C2/m, No. 12



Number 1: E -7.293 eV per atom, ΔE_f (raw) -1.345 eV/atom. Number 2: E -7.460 eV per atom, ΔE_f (raw) -1.636 eV/atom. Number 3: E -6.236 eV per atom, ΔE_f (raw) -1.184 eV/atom. Number 4: E -8.285 eV per atom, ΔE_f (raw) -1.596 eV/atom. Number 5: E -7.523 eV per atom, ΔE_f (raw) -1.575 eV/atom. Number 6: E -7.487 eV per atom, ΔE_f (raw) -1.620 eV/atom.